Entry 1:
Computed, not measured: VInRu2 after structural relaxation at the GGA-PBE level of DFT.

a b c (Å): 5.875 5.875 5.875
angles (deg): 54.95 152.87 133.19
Sites, in units of the cell vectors:
Ru1 0.000 0.782 0.782
Ru2 0.000 0.218 0.218
In1 0.000 0.500 0.500
V1 0.000 0.000 0.000

Computed properties:
theoretical density = 9.1 g/cm³
energy relative to the elements = 11.7 kcal/mol of atoms
SG = Immm (71)
DOS(E_F) = 1.099 states/eV/atom
E_tot = -7.09 eV/atom

=====

Entry 2:
Computed, not measured: V2InRu2 after structural relaxation at the GGA-PBE level of DFT.

a b c (Å): 7.326 7.326 2.889
angles (deg): 90.00 90.00 90.00
Sites, in units of the cell vectors:
V1 0.657 0.843 0.500
V2 0.843 0.343 0.500
V3 0.343 0.157 0.500
V4 0.157 0.657 0.500
In1 0.500 0.500 0.000
In2 0.000 0.000 0.000
Ru1 0.365 0.865 0.000
Ru2 0.865 0.635 0.000
Ru3 0.635 0.135 0.000
Ru4 0.135 0.365 0.000

Computed properties:
theoretical density = 9.0 g/cm³
energy relative to the elements = -1.2 kcal/mol of atoms
SG = P4/mbm (127)
DOS(E_F) = 0.987 states/eV/atom
E_tot = -7.96 eV/atom

=====

Entry 3:
Computed, not measured: VInRu2 after structural relaxation at the GGA-PBE level of DFT.

a b c (Å): 6.989 6.989 5.668
angles (deg): 51.93 51.93 90.00
Sites, in units of the cell vectors:
V1 0.500 0.500 0.000
V2 0.250 0.750 0.500
In1 0.750 0.250 0.500
In2 0.000 0.000 0.000
Ru1 0.875 0.820 0.750
Ru2 0.570 0.125 0.250
Ru3 0.180 0.625 0.250
Ru4 0.375 0.430 0.750

Computed properties:
theoretical density = 9.0 g/cm³
energy relative to the elements = 7.7 kcal/mol of atoms
SG = I-42d (122)
DOS(E_F) = 0.635 states/eV/atom
E_tot = -7.27 eV/atom

=====

Entry 4:
Computed, not measured: V2InRu2 after structural relaxation at the GGA-PBE level of DFT.

a b c (Å): 7.411 7.411 2.848
angles (deg): 90.00 90.00 90.00
Sites, in units of the cell vectors:
Ru1 0.146 0.646 0.500
Ru2 0.646 0.854 0.500
Ru3 0.854 0.354 0.500
Ru4 0.354 0.146 0.500
In1 0.500 0.500 0.000
In2 0.000 0.000 0.000
V1 0.641 0.141 0.000
V2 0.359 0.859 0.000
V3 0.859 0.641 0.000
V4 0.141 0.359 0.000

Computed properties:
theoretical density = 8.9 g/cm³
energy relative to the elements = 1.0 kcal/mol of atoms
SG = P4/mbm (127)
DOS(E_F) = 1.019 states/eV/atom
E_tot = -7.86 eV/atom

=====

Entry 5:
Computed, not measured: ZrVInRu after structural relaxation at the GGA-PBE level of DFT.

a b c (Å): 4.632 4.632 4.632
angles (deg): 60.00 60.00 60.00
Last column: magnetic moment on the atom in μB.
Sites, in units of the cell vectors:
Ru1 0.000 0.000 0.000  -0.20
In1 0.250 0.250 0.250  -0.03
V1 0.500 0.500 0.500  1.98
Zr1 0.750 0.750 0.750  0.07

Computed properties:
theoretical density = 8.5 g/cm³
energy relative to the elements = -3.7 kcal/mol of atoms
SG = F-43m (216)
DOS(E_F) = 1.301 states/eV/atom
E_tot = -7.58 eV/atom

=====

Entry 6:
Computed, not measured: Zr2V2InRu5 after structural relaxation at the GGA-PBE level of DFT.

a b c (Å): 3.409 9.885 9.885
angles (deg): 90.00 90.00 90.00
Sites, in units of the cell vectors:
Ru1 0.500 0.066 0.786
Ru2 0.500 0.434 0.286
Ru3 0.500 0.714 0.434
Ru4 0.500 0.566 0.714
Ru5 0.500 0.286 0.566
Ru6 0.500 0.500 0.000
Ru7 0.500 0.214 0.066
Ru8 0.500 0.934 0.214
Ru9 0.500 0.000 0.500
Ru10 0.500 0.786 0.934
In1 0.000 0.000 0.000
In2 0.000 0.500 0.500
V1 0.000 0.122 0.622
V2 0.000 0.622 0.878
V3 0.000 0.378 0.122
V4 0.000 0.878 0.378
Zr1 0.000 0.176 0.324
Zr2 0.000 0.824 0.676
Zr3 0.000 0.324 0.824
Zr4 0.000 0.676 0.176

Computed properties:
theoretical density = 9.0 g/cm³
energy relative to the elements = -4.4 kcal/mol of atoms
SG = P4/mbm (127)
DOS(E_F) = 0.538 states/eV/atom
E_tot = -8.64 eV/atom

=====

Entry 7:
Computed, not measured: InRuW after structural relaxation at the GGA-PBE level of DFT.

a b c (Å): 7.359 7.115 2.861
angles (deg): 83.43 73.85 22.72
Sites, in units of the cell vectors:
W1 0.323 0.323 0.677
In1 0.004 0.004 0.996
Ru1 0.673 0.673 0.327

Computed properties:
theoretical density = 12.9 g/cm³
energy relative to the elements = 9.3 kcal/mol of atoms
SG = Fmm2 (42)
DOS(E_F) = 0.615 states/eV/atom
E above lowest polymorph = 241 meV per atom
E_tot = -7.92 eV/atom

=====

Entry 8:
Computed, not measured: InRuW2 after structural relaxation at the GGA-PBE level of DFT.

a b c (Å): 4.976 4.976 4.993
angles (deg): 78.52 78.52 33.70
Sites, in units of the cell vectors:
W1 0.739 0.739 0.779
W2 0.991 0.991 0.001
In1 0.506 0.506 0.492
Ru1 0.264 0.264 0.228

Computed properties:
theoretical density = 14.4 g/cm³
energy relative to the elements = 9.2 kcal/mol of atoms
SG = Cm (8)
DOS(E_F) = 0.732 states/eV/atom
E_tot = -9.08 eV/atom